## Cs4Pr3VO8 (PBE with a Hubbard U)

Data for an optimized crystal structure of Cs4Pr3VO8.

Summary:
Total magnetization in μB/f.u.: 2.00
DFT total energy in eV/atom: -6.25

a b c (Å): 7.296 7.296 8.089
angles (deg): 116.90 116.90 59.15
Element x y z (fractional)
1 Cs 0.000 0.000 0.000
2 Cs 0.000 0.500 0.000
3 Cs 0.500 0.000 0.000
4 Cs 0.500 0.500 0.000
5 Pr 0.000 0.000 0.500
6 Pr 0.000 0.500 0.500
7 Pr 0.500 0.000 0.500
8 V 0.500 0.500 0.500
9 O 0.222 0.222 0.672
10 O 0.256 0.700 0.658
11 O 0.273 0.273 0.321
12 O 0.300 0.744 0.342
13 O 0.700 0.256 0.658
14 O 0.727 0.727 0.679
15 O 0.744 0.300 0.342
16 O 0.778 0.778 0.328